Density functional theory data (PBE) for an optimized crystal structure of SrVSiCl2.

CIF file:
```
data_SrVSiCl2
_chemical_formula_sum 'Sr1 V1 Si1 Cl2'
_space_group_name_H-M_alt 'P 4/m m m'
_space_group_IT_number 123
_space_group_name_Hall '-P 4 2'
_cell_length_a 5.070
_cell_length_b 5.070
_cell_length_c 6.191
_cell_angle_alpha 90.00
_cell_angle_beta 90.00
_cell_angle_gamma 90.00
loop_
_atom_site_label
_atom_site_type_symbol
_atom_site_fract_x
_atom_site_fract_y
_atom_site_fract_z
Sr1 Sr 0.000 0.000 0.000
V1 V 0.500 0.500 0.000
Si1 Si 0.000 0.000 0.500
Cl1 Cl 0.000 0.500 0.500
```

Density functional theory data (PBE) for an optimized crystal structure of Sr2YSiCl.

CIF file:
```
data_Sr2YSiCl
_chemical_formula_sum 'Sr2 Y1 Si1 Cl1'
_space_group_name_H-M_alt 'P 4/m m m'
_space_group_IT_number 123
_space_group_name_Hall '-P 4 2'
_cell_length_a 6.813
_cell_length_b 6.813
_cell_length_c 5.148
_cell_angle_alpha 90.00
_cell_angle_beta 90.00
_cell_angle_gamma 90.00
loop_
_atom_site_label
_atom_site_type_symbol
_atom_site_fract_x
_atom_site_fract_y
_atom_site_fract_z
Sr1 Sr 0.000 0.500 0.000
Y1 Y 0.000 0.000 0.000
Si1 Si 0.000 0.000 0.500
Cl1 Cl 0.500 0.500 0.500
```

Density functional theory data (PBE) for an optimized crystal structure of TaSiCl.

CIF file:
```
data_TaSiCl
_chemical_formula_sum 'Ta1 Si1 Cl1'
_space_group_name_H-M_alt 'P 3 m 1'
_space_group_IT_number 156
_space_group_name_Hall 'P 3 -2"'
_cell_length_a 3.0301
_cell_length_b 3.0301
_cell_length_c 7.7311
_cell_angle_alpha 90.00
_cell_angle_beta 90.00
_cell_angle_gamma 120.00
loop_
_atom_site_label
_atom_site_type_symbol
_atom_site_fract_x
_atom_site_fract_y
_atom_site_fract_z
Ta1 Ta 0.0000 0.0000 0.0000
Si1 Si 0.3333 0.6667 0.7125
Cl1 Cl 0.6667 0.3333 0.2309
```

# TaSi2Cl PBE optimized geometry
data_TaSi2Cl
_chemical_formula_sum 'Ta1 Si2 Cl1'
_space_group_name_H-M_alt 'P 4/m m m'
_space_group_IT_number 123
_space_group_name_Hall '-P 4 2'
_cell_length_a 2.970
_cell_length_b 2.970
_cell_length_c 7.677
_cell_angle_alpha 90.00
_cell_angle_beta 90.00
_cell_angle_gamma 90.00
loop_
_atom_site_label
_atom_site_type_symbol
_atom_site_fract_x
_atom_site_fract_y
_atom_site_fract_z
Ta1 Ta 0.000 0.000 0.000
Si1 Si 0.500 0.500 0.236
Cl1 Cl 0.000 0.000 0.500
# Distance to the lowest polymorph of the same formula = 317 meV per atom

Density functional theory data (PBE) for an optimized crystal structure of TaSiCl.

CIF file:
```
data_TaSiCl
_chemical_formula_sum 'Ta2 Si2 Cl2'
_space_group_name_H-M_alt 'I m m 2'
_space_group_IT_number 44
_space_group_name_Hall 'I 2 -2'
_cell_length_a 2.867
_cell_length_b 3.888
_cell_length_c 8.888
_cell_angle_alpha 90.00
_cell_angle_beta 90.00
_cell_angle_gamma 90.00
loop_
_atom_site_label
_atom_site_type_symbol
_atom_site_fract_x
_atom_site_fract_y
_atom_site_fract_z
Ta1 Ta 0.000 0.000 0.000
Si1 Si 0.000 0.000 0.329
Cl1 Cl 0.000 0.000 0.635
```

Density functional theory data (PBE) for an optimized crystal structure of TaSiCl.

CIF file:
```
data_TaSiCl
_chemical_formula_sum 'Ta1 Si1 Cl1'
_space_group_name_H-M_alt 'P -6 m 2'
_space_group_IT_number 187
_space_group_name_Hall 'P -6 2'
_cell_length_a 4.4403
_cell_length_b 4.4403
_cell_length_c 2.8989
_cell_angle_alpha 90.00
_cell_angle_beta 90.00
_cell_angle_gamma 120.00
loop_
_atom_site_label
_atom_site_type_symbol
_atom_site_fract_x
_atom_site_fract_y
_atom_site_fract_z
Ta1 Ta 0.0000 0.0000 0.0000
Si1 Si 0.3333 0.6667 0.5000
Cl1 Cl 0.6667 0.3333 0.0000
```

# TaSi2Cl PBE optimized geometry
data_TaSi2Cl
_chemical_formula_sum 'Ta3 Si6 Cl3'
_space_group_name_H-M_alt 'R -3 m'
_space_group_IT_number 166
_space_group_name_Hall '-R 3 2"'
_cell_length_a 3.0969
_cell_length_b 3.0969
_cell_length_c 24.3501
_cell_angle_alpha 90.00
_cell_angle_beta 90.00
_cell_angle_gamma 120.00
loop_
_atom_site_label
_atom_site_type_symbol
_atom_site_fract_x
_atom_site_fract_y
_atom_site_fract_z
Ta1 Ta 0.0000 0.0000 0.0000
Si1 Si 0.0000 0.0000 0.2521
Cl1 Cl 0.0000 0.0000 0.5000
# Distance to the lowest polymorph of the same formula = 267 meV per atom

# TaSi3Cl PBE optimized geometry
data_TaSi3Cl
_chemical_formula_sum 'Ta1 Si3 Cl1'
_space_group_name_H-M_alt 'P m -3 m'
_space_group_IT_number 221
_space_group_name_Hall '-P 4 2 3'
_cell_length_a 4.970
_cell_length_b 4.970
_cell_length_c 4.970
_cell_angle_alpha 90.00
_cell_angle_beta 90.00
_cell_angle_gamma 90.00
loop_
_atom_site_label
_atom_site_type_symbol
_atom_site_fract_x
_atom_site_fract_y
_atom_site_fract_z
Ta1 Ta 0.000 0.000 0.000
Si1 Si 0.000 0.000 0.500
Cl1 Cl 0.500 0.500 0.500
# Distance to the lowest polymorph of the same formula = 0 meV per atom

| no. | total DFT energy (no corrections) (eV per atom) | E_form (uncorrected) (meV per atom) |
| --- | --- | --- |
| 1 | -3.585 | 399 |
| 2 | -3.225 | 194 |
| 3 | -6.523 | -149 |
| 4 | -5.869 | 268 |
| 5 | -6.183 | 192 |
| 6 | -6.316 | 58 |
| 7 | -5.919 | 217 |
| 8 | -5.353 | 640 |